This record from Alexandria via LeMat-Bulk describes crystalline SrTl2Mo at its relaxed geometry. The functional is PBE.

Structure (POSCAR):
```
SrTl2Mo
1.0
5.224 0.000 0.000
0.000 3.712 -0.026
0.000 0.042 5.887
Mo Sr Tl
1 1 2
Direct
0.000 0.250 0.487
0.500 0.750 0.755
0.000 0.250 0.979
0.500 0.250 0.279
```

Results
- Calculated volume: 114.2 Å³/cell
- Calculated total energy: -3.7320 eV/atom
- Relative energy among the computed polymorphs: 187.9 meV per atom
- ΔE_f: 55.90 kJ/mol of atoms
- Symmetry: Pmm2
- Magnetization: 0.664 μB/atom

This record from Alexandria via LeMat-Bulk describes crystalline La2DyY5Sc at its relaxed geometry. The functional is PBE.

Structure (POSCAR):
```
La2DyY5Sc
1.0
5.605 0.000 0.000
-2.803 10.103 0.000
0.000 0.000 10.446
La Dy Y Sc
4 2 10 2
Direct
0.887 0.773 0.813
0.116 0.232 0.735
0.113 0.227 0.313
0.884 0.768 0.235
0.593 0.186 0.960
0.407 0.814 0.460
0.370 0.740 0.019
0.727 0.454 0.827
0.484 0.968 0.741
0.296 0.593 0.699
0.985 0.971 0.515
0.630 0.260 0.519
0.273 0.546 0.327
0.516 0.032 0.241
0.704 0.407 0.199
0.015 0.029 0.015
0.806 0.612 0.515
0.194 0.388 0.015
```

Results
- Calculated volume: 591.5 Å³/cell
- Calculated total energy: -5.7518 eV/atom
- ΔE_f: 14.39 kJ/mol of atoms
- Symmetry: Cmc2_1
- Magnetization: 0.000 μB/atom

This record from Alexandria via LeMat-Bulk describes crystalline In2AsRh at its relaxed geometry. The functional is PBE.

Structure (POSCAR):
```
In2AsRh
1.0
5.083 -0.006 0.000
1.321 4.908 0.000
-3.202 -2.451 3.094
As Rh In
1 1 2
Direct
0.750 0.250 0.500
0.250 0.750 0.500
0.000 0.000 0.000
0.500 0.500 0.000
```

Results
- Calculated volume: 77.2 Å³/cell
- Calculated total energy: -4.3157 eV/atom
- ΔE_f: 5.19 kJ/mol of atoms
- Symmetry: I4/mmm
- Magnetization: 0.000 μB/atom

This record from Alexandria via LeMat-Bulk describes crystalline Sm4Tl5Ga2 at its relaxed geometry. The functional is PBE.

Structure (POSCAR):
```
Sm4Tl5Ga2
1.0
3.801 0.000 0.000
0.000 8.193 0.191
0.000 -0.561 9.616
Sm Tl Ga
4 5 2
Direct
0.500 0.767 0.595
0.500 0.206 0.855
0.500 0.233 0.405
0.500 0.794 0.145
0.000 0.554 0.341
0.000 0.137 0.132
0.000 0.500 0.000
0.000 0.863 0.868
0.000 0.446 0.659
0.000 0.079 0.621
0.000 0.921 0.379
```

Results
- Calculated volume: 299.9 Å³/cell
- Calculated total energy: -3.7232 eV/atom
- ΔE_f: -36.78 kJ/mol of atoms
- Symmetry: P2/m
- Magnetization: 0.000 μB/atom